No. 1
The following is a DFT calculation (PBE) of an optimized crystal structure of CaSc2In.

a b c (Å): 5.811 5.811 5.811
angles (deg): 133.04 133.04 68.59
Each line ends with the local moment (μB).
Positions (direct):
Sc  0.250  0.750  0.500  0.09
Sc  0.000  0.000  0.000  0.12
In  0.750  0.250  0.500  0.00
Ca  0.500  0.500  0.000  0.02

Properties
- Energy relative to the elements: -0.104 eV per atom
- Density of states at the Fermi level: 5.180 states/eV/cell



No. 2
The following is a DFT calculation (PBE) of an optimized crystal structure of CaScIn.

a b c (Å): 5.207 8.614 5.205
angles (deg): 72.43 60.02 107.60
Positions (direct):
Ca  0.876  0.412  0.013
Ca  0.463  0.665  0.094
Sc  0.384  0.921  0.505
Sc  0.273  0.143  0.949
In  0.949  0.153  0.606
In  0.824  0.693  0.399

Properties
- Energy relative to the elements: -0.304 eV per atom
- Energy above the lowest structure with this stoichiometry: 20 meV per atom
- Density of states at the Fermi level: 1.451 states/eV/cell



No. 3
The following is a DFT calculation (PBE) of an optimized crystal structure of CaSc2In.

a b c (Å): 4.695 4.694 4.649
angles (deg): 90.00 90.00 90.00
Each line ends with the local moment (μB).
Positions (direct):
Sc  0.000  0.000  0.000  0.21
Sc  0.500  0.500  0.000  0.21
Ca  0.500  0.000  0.500  0.01
In  0.000  0.500  0.500  -0.01

Properties
- Energy relative to the elements: -0.163 eV per atom
- Density of states at the Fermi level: 3.491 states/eV/cell



No. 4
The following is a DFT calculation (PBE) of an optimized crystal structure of CaScIn.

a b c (Å): 7.060 3.392 7.307
angles (deg): 103.43 76.41 90.01
Positions (direct):
Sc  0.965  0.610  0.120
Sc  0.102  0.288  0.478
In  0.248  0.946  0.793
In  0.818  0.952  0.805
Ca  0.457  0.593  0.087
Ca  0.609  0.305  0.510

Properties
- Energy relative to the elements: -0.236 eV per atom
- Energy above the lowest structure with this stoichiometry: 89 meV per atom
- Density of states at the Fermi level: 5.687 states/eV/cell



No. 5
The following is a DFT calculation (PBE) of an optimized crystal structure of CaScIn2.

a b c (Å): 6.071 6.071 6.071
angles (deg): 136.52 136.52 63.18
Each line ends with the local moment (μB).
Positions (direct):
Sc  0.500  0.500  0.000  0.10
In  0.000  0.000  0.000  0.01
In  0.250  0.750  0.500  0.01
Ca  0.750  0.250  0.500  0.02

Properties
- Energy relative to the elements: -0.242 eV per atom
- Density of states at the Fermi level: 4.738 states/eV/cell



No. 6
The following is a DFT calculation (PBE) of an optimized crystal structure of Ca3ScIn.

a b c (Å): 5.890 5.890 5.890
angles (deg): 90.00 90.00 90.00
Each line ends with the local moment (μB).
Positions (direct):
Ca  0.000  0.000  0.500  0.16
Ca  0.000  0.500  0.000  0.13
Ca  0.500  0.000  0.000  0.08
Sc  0.000  0.000  0.000  0.94
In  0.500  0.500  0.500  -0.08

Properties
- Energy relative to the elements: 0.688 eV per atom
- Energy above the lowest structure with this stoichiometry: 352 meV per atom
- Density of states at the Fermi level: 6.323 states/eV/cell



No. 7
The following is a DFT calculation (PBE) of an optimized crystal structure of CaScIn.

a b c (Å): 6.164 6.129 6.129
angles (deg): 86.45 120.19 120.19
Positions (direct):
Ca  0.696  0.239  0.447
Ca  0.196  0.483  0.202
In  0.447  0.361  0.825
In  0.947  0.861  0.325
Sc  0.946  0.861  0.824
Sc  0.447  0.861  0.825

Properties
- Energy relative to the elements: -0.292 eV per atom
- Energy above the lowest structure with this stoichiometry: 33 meV per atom
- Density of states at the Fermi level: 4.804 states/eV/cell



No. 8
The following is a DFT calculation (PBE) of an optimized crystal structure of CaSc2In.

a b c (Å): 3.457 3.457 8.969
angles (deg): 90.00 90.00 90.00
Each line ends with the local moment (μB).
Positions (direct):
Sc  0.500  0.500  0.217  0.23
Sc  0.000  0.000  0.990  0.17
In  0.500  0.500  0.774  -0.01
Ca  0.000  0.000  0.519  -0.01

Properties
- Energy relative to the elements: -0.169 eV per atom
- Density of states at the Fermi level: 4.412 states/eV/cell